Compound: PrCdO3
Source: OQMD
Functional: GGA-PBE
Structure: optimized geometry

Geometry as POSCAR:
```
PrCdO3
1.0
2.990 -1.726 -4.498
-2.990 -1.726 -4.498
0.000 3.452 -4.498
Cd O Pr
2 6 2
Direct
0.000 0.000 0.000
0.500 0.500 0.500
0.750 0.362 0.138
0.638 0.862 0.250
0.138 0.750 0.362
0.862 0.250 0.638
0.362 0.138 0.750
0.250 0.638 0.862
0.250 0.250 0.250
0.750 0.750 0.750
```

* E_tot: -5.94 eV/atom
* space group: R-3c

***

Compound: La3Mg2Si4Pd2
Source: OQMD
Functional: GGA-PBE
Structure: optimized geometry

Geometry as POSCAR:
```
La3Mg2Si4Pd2
1.0
10.039 -8.948 -0.158
5.943 -11.546 3.498
-9.229 8.888 -4.088
La Mg Pd Si
3 2 2 4
Direct
0.000 0.000 0.000
0.639 0.139 0.500
0.361 0.861 0.500
0.250 0.250 0.000
0.750 0.750 0.000
0.909 0.409 0.500
0.091 0.591 0.500
0.454 0.454 0.000
0.546 0.546 0.000
0.815 0.315 0.500
0.185 0.685 0.500
```

* E_tot: -5.31 eV/atom
* space group: Immm

***

Compound: Sc6Si11Ni18
Source: OQMD
Functional: GGA-PBE
Structure: optimized geometry

Geometry as POSCAR:
```
Sc6Si11Ni18
1.0
5.205 -3.359 -9.773
9.128 -5.810 4.101
-11.556 -0.585 0.100
Ni Sc Si
36 12 22
Direct
0.431 0.431 0.000
0.569 0.569 0.000
0.268 0.638 0.075
0.437 0.807 0.075
0.214 0.113 0.101
0.987 0.887 0.101
0.210 0.376 0.166
0.790 0.956 0.166
0.563 0.048 0.175
0.127 0.613 0.175
0.924 0.193 0.269
0.076 0.345 0.269
0.750 0.421 0.328
0.907 0.579 0.328
0.563 0.638 0.370
0.732 0.807 0.370
0.381 0.000 0.381
0.873 0.048 0.486
0.437 0.613 0.486
0.563 0.387 0.514
0.127 0.952 0.514
0.619 0.000 0.619
0.268 0.193 0.630
0.437 0.362 0.630
0.093 0.421 0.672
0.250 0.579 0.672
0.924 0.655 0.731
0.076 0.807 0.731
0.873 0.387 0.825
0.437 0.952 0.825
0.210 0.044 0.834
0.790 0.624 0.834
0.013 0.113 0.899
0.786 0.887 0.899
0.563 0.193 0.925
0.732 0.362 0.925
0.817 0.203 0.021
0.468 0.285 0.184
0.899 0.715 0.184
0.183 0.203 0.386
0.629 0.129 0.500
0.810 0.310 0.500
0.190 0.690 0.500
0.371 0.871 0.500
0.817 0.797 0.614
0.101 0.285 0.816
0.532 0.715 0.816
0.183 0.797 0.979
0.000 0.000 0.000
0.675 0.102 0.090
0.988 0.415 0.090
0.675 0.500 0.175
0.332 0.509 0.177
0.668 0.846 0.177
0.500 0.767 0.267
0.400 0.117 0.283
0.167 0.883 0.283
0.012 0.102 0.427
0.325 0.415 0.427
0.000 0.500 0.500
0.675 0.585 0.573
0.988 0.898 0.573
0.833 0.117 0.717
0.600 0.883 0.717
0.500 0.233 0.733
0.332 0.154 0.823
0.668 0.491 0.823
0.325 0.500 0.825
0.012 0.585 0.910
0.325 0.898 0.910
```

* E_tot: -6.42 eV/atom
* space group: Immm